Record 1
A plane-wave DFT calculation with PBE-GGA was carried out for PmZnF after structural relaxation.

The value obtained for the formation energy (no corrections) is -1.38 eV/atom.

Structure (POSCAR):
```
PmZnF
1.0
3.429 0.000 0.000
0.000 3.429 0.000
0.000 0.000 10.865
Pm Zn F
2 2 2
direct
0.000 0.000 0.000
0.500 0.500 0.500
0.000 0.000 0.707
0.500 0.500 0.207
0.000 0.000 0.455
0.500 0.500 0.955
```

Record 2
A plane-wave DFT calculation with PBE-GGA was carried out for PmZnF6 after structural relaxation.

The value obtained for the formation energy (no corrections) is -2.82 eV/atom.

Structure (POSCAR):
```
PmZnF6
1.0
2.705 1.561 4.979
-2.705 1.561 4.979
0.000 -3.123 4.979
Pm Zn F
1 1 6
direct
0.000 0.000 0.000
0.500 0.500 0.500
0.138 0.725 0.403
0.275 0.597 0.862
0.403 0.138 0.725
0.597 0.862 0.275
0.725 0.403 0.138
0.862 0.275 0.597
```

Record 3
A plane-wave DFT calculation with PBE-GGA was carried out for PmZnF after structural relaxation.

The value obtained for the formation energy (no corrections) is -1.70 eV/atom.

Structure (POSCAR):
```
PmZnF
1.0
3.386 0.000 0.000
0.000 3.386 0.000
0.000 0.000 9.195
Pm Zn F
2 2 2
direct
0.250 0.250 0.200
0.750 0.750 0.800
0.250 0.250 0.573
0.750 0.750 0.427
0.250 0.250 0.931
0.750 0.750 0.069
```

Record 4
A plane-wave DFT calculation with PBE-GGA was carried out for Pm3ZrF after structural relaxation.

The value obtained for the formation energy (no corrections) is -0.88 eV/atom.

Structure (POSCAR):
```
Pm3ZrF
1.0
5.030 0.000 0.000
0.000 5.030 0.000
0.000 0.000 5.030
Pm Zr F
3 1 1
direct
0.000 0.000 0.500
0.000 0.500 0.000
0.500 0.000 0.000
0.500 0.500 0.500
0.000 0.000 0.000
```

Record 5
A plane-wave DFT calculation with PBE-GGA was carried out for PmZrF after structural relaxation.

The value obtained for the formation energy (no corrections) is -1.53 eV/atom.

Structure (POSCAR):
```
PmZrF
1.0
6.210 0.000 0.000
0.000 3.616 0.000
-2.044 0.000 11.864
Pm Zr F
4 4 4
direct
0.225 0.000 0.175
0.275 0.500 0.825
0.725 0.500 0.175
0.775 0.000 0.825
0.135 0.500 0.401
0.365 0.000 0.599
0.635 0.000 0.401
0.865 0.500 0.599
0.145 0.000 0.930
0.355 0.500 0.070
0.645 0.500 0.930
0.855 0.000 0.070
```

Record 6
A plane-wave DFT calculation with PBE-GGA was carried out for PrF4 after structural relaxation.

The value obtained for the formation energy (no corrections) is -3.00 eV/atom.

Structure (POSCAR):
```
PrF4
1.0
4.632 0.000 0.000
0.000 4.632 0.000
0.000 0.000 4.632
Pr F
1 4
direct
0.000 0.000 0.000
0.000 0.000 0.500
0.000 0.500 0.000
0.500 0.000 0.000
0.500 0.500 0.500
```

Record 7
A plane-wave DFT calculation with PBE-GGA was carried out for PrF5 after structural relaxation.

The value obtained for the formation energy (no corrections) is -2.46 eV/atom.

Structure (POSCAR):
```
PrF5
1.0
4.279 0.000 0.000
0.000 7.514 0.000
0.000 0.000 4.687
Pr F
2 10
direct
0.000 0.000 0.000
0.500 0.500 0.000
0.000 0.137 0.500
0.000 0.333 0.000
0.000 0.500 0.500
0.000 0.667 0.000
0.000 0.863 0.500
0.500 0.000 0.500
0.500 0.167 0.000
0.500 0.363 0.500
0.500 0.637 0.500
0.500 0.833 0.000
```

Record 8
A plane-wave DFT calculation with PBE-GGA was carried out for Pr3F8 after structural relaxation.

The value obtained for the formation energy (no corrections) is -3.82 eV/atom.

Structure (POSCAR):
```
Pr3F8
1.0
5.799 0.000 0.000
0.000 5.799 0.000
0.000 0.000 5.799
Pr F
3 8
direct
0.000 0.000 0.500
0.000 0.500 0.000
0.500 0.000 0.000
0.230 0.230 0.230
0.230 0.230 0.770
0.230 0.770 0.230
0.230 0.770 0.770
0.770 0.230 0.230
0.770 0.230 0.770
0.770 0.770 0.230
0.770 0.770 0.770
```

Which of these has the lowest formation energy (no corrections)? Pr3F8

Which value of formation energy (no corrections) does entry 3 give? -1.70 eV/atom

Repeat the sixth record exactly.
A plane-wave DFT calculation with PBE-GGA was carried out for PrF4 after structural relaxation.

The value obtained for the formation energy (no corrections) is -3.00 eV/atom.

Structure (POSCAR):
```
PrF4
1.0
4.632 0.000 0.000
0.000 4.632 0.000
0.000 0.000 4.632
Pr F
1 4
direct
0.000 0.000 0.000
0.000 0.000 0.500
0.000 0.500 0.000
0.500 0.000 0.000
0.500 0.500 0.500
```

Among the records above, which one has the highest formation energy (no corrections)? Pm3ZrF